CrTeIr2 at its PBEsol-relaxed geometry, computed with meta-GGA SCAN.

Computed properties:
ΔE_f (raw) ... 31 kJ per mole of atoms
Final energy ... -49.1380 eV per atom

```
data_CrTeIr2
_cell_length_a 2.864
_cell_length_b 2.864
_cell_length_c 7.598
_cell_angle_alpha 90.00
_cell_angle_beta 90.00
_cell_angle_gamma 90.00
_space_group_name_H-M_alt 'P 4/m m m'
_space_group_IT_number 123
_space_group_name_Hall '-P 4 2'
loop_
_atom_site_label
_atom_site_type_symbol
_atom_site_fract_x
_atom_site_fract_y
_atom_site_fract_z
Cr1 Cr 0.000 0.000 0.000
Te1 Te 0.000 0.000 0.500
Ir1 Ir 0.500 0.500 0.208
```